CaThHg6 | PBE-GGA | optimized geometry

Values from the calculation:
- total magnetic moment (μB/f.u.) = 0.0
- raw total energy (eV per atom) = -1.71
- DFT formation energy (eV per atom) = -0.30
- symmetry = Amm2
- crystal system = orthorhombic

The structure in POSCAR format:
```
CaThHg6
1.0
-0.979 -3.298 3.771
5.257 2.448 3.506
-6.150 2.734 0.795
Ca Th Hg
1 1 6
Cartesian
-1.916 0.966 3.803
-5.173 2.709 1.027
-2.136 1.296 0.579
-2.599 3.982 2.809
0.529 2.567 2.382
1.192 -0.372 3.439
0.756 2.160 5.541
3.814 0.823 5.165
```